(1)
Computed, not measured: crystalline TbCu11 at its relaxed geometry at the GGA-PBE level of DFT.

Cell: 6.5480 7.7881 7.7881 Å, 79.82 65.14 65.14°
With the nearest neighbours (Å) after each atom.
Fractional coordinates of all 24 atoms:
Tb: 0.5000 0.0000 0.0000  18 Cu 3.12-3.27
Tb: 0.2500 0.5000 0.5000  18 Cu 3.12-3.27
Cu: 0.4333 0.8288 0.4163  9 Cu 2.45-2.71
Cu: 0.6784 0.1712 0.5837  9 Cu 2.45-2.71
Cu: 0.0000 0.0000 0.0000  12 Cu 2.63-2.71
Cu: 0.7500 0.5000 0.5000  12 Cu 2.63-2.71
Cu: 0.3750 0.7500 0.7500  10 Cu 2.46-2.63
Cu: 0.8750 0.7500 0.2500  10 Cu 2.46-2.63
Cu: 0.8750 0.2500 0.7500  10 Cu 2.46-2.63
Cu: 0.8750 0.2500 0.2500  10 Cu 2.46-2.63
Cu: 0.4333 0.4163 0.8288  9 Cu 2.45-2.71
Cu: 0.0121 0.6712 0.9163  9 Cu 2.45-2.71
Cu: 0.5996 0.3288 0.0837  9 Cu 2.45-2.71
Cu: 0.6784 0.5837 0.1712  9 Cu 2.45-2.71
Cu: 0.7379 0.5837 0.8288  9 Cu 2.45-2.71
Cu: 0.1504 0.4163 0.1712  9 Cu 2.45-2.71
Cu: 0.0716 0.3288 0.9163  9 Cu 2.45-2.71
Cu: 0.3167 0.6712 0.0837  9 Cu 2.45-2.71
Cu: 0.3167 0.0837 0.6712  9 Cu 2.45-2.71
Cu: 0.7379 0.8288 0.5837  9 Cu 2.45-2.71
Cu: 0.1504 0.1712 0.4163  9 Cu 2.45-2.71
Cu: 0.0716 0.9163 0.3288  9 Cu 2.45-2.71
Cu: 0.0121 0.9163 0.6712  9 Cu 2.45-2.71
Cu: 0.5996 0.0837 0.3288  9 Cu 2.45-2.71

Results
SG	I4_1/amd, No. 141
N(E_F)	0.3326	states/eV per atom
formation energy from the elements	-0.084	eV/atom

(2)
Computed, not measured: crystalline Cr2Ni2Pt at its relaxed geometry at the GGA-PBE level of DFT.

Cell: 6.8381 6.8381 2.6623 Å, 90.00 90.00 90.00°
With the nearest neighbours (Å) after each atom.
Fractional coordinates of all 10 atoms:
Ni: 0.1799 0.6799 0.5000  6 Cr 2.43-2.44, 2 Ni 2.66
Ni: 0.6799 0.8201 0.5000  6 Cr 2.43-2.44, 2 Ni 2.66
Ni: 0.8201 0.3201 0.5000  6 Cr 2.43-2.44, 2 Ni 2.66
Ni: 0.3201 0.1799 0.5000  6 Cr 2.43-2.44, 2 Ni 2.66
Pt: 0.0000 0.0000 0.0000  2 Pt 2.66, 4 Cr 2.77, 8 Ni 2.84
Pt: 0.5000 0.5000 0.0000  2 Pt 2.66, 4 Cr 2.77, 8 Ni 2.84
Cr: 0.3898 0.8898 0.0000  1 Cr 2.13
Cr: 0.8898 0.6102 0.0000  1 Cr 2.13
Cr: 0.6102 0.1102 0.0000  1 Cr 2.13
Cr: 0.1102 0.3898 0.0000  1 Cr 2.13

Results
SG	P4/mbm, No. 127
E above lowest polymorph	0.182	eV/atom
N(E_F)	1.3899	states/eV per atom
formation energy from the elements	0.173	eV/atom

(3)
Computed, not measured: crystalline Rb2SrZr at its relaxed geometry at the GGA-PBE level of DFT.

Cell: 5.3322 5.3322 15.3545 Å, 80.00 80.00 90.00°
With the nearest neighbours (Å) after each atom.
Fractional coordinates of all 8 atoms:
Sr: 0.5000 0.5000 0.0000  4 Zr 3.77, 4 Rb 4.19
Sr: 0.2500 0.7500 0.5000  4 Zr 3.77, 4 Rb 4.19
Rb: 0.6364 0.1250 0.2500  4 Rb 3.69-3.86
Rb: 0.1136 0.6250 0.2500  4 Rb 3.69-3.86
Rb: 0.3750 0.3636 0.7500  4 Rb 3.69-3.86
Rb: 0.8750 0.8864 0.7500  4 Rb 3.69-3.86
Zr: 0.0000 0.0000 0.0000  4 Sr 3.77, 4 Rb 4.15
Zr: 0.7500 0.2500 0.5000  4 Sr 3.77, 4 Rb 4.15

Results
SG	I-42d, No. 122
E above lowest polymorph	0.000	eV/atom
N(E_F)	0.7695	states/eV per atom
formation energy from the elements	0.983	eV/atom

(4)
Computed, not measured: crystalline TaInRh2 at its relaxed geometry at the GGA-PBE level of DFT.

Cell: 5.9712 5.9712 5.9712 Å, 57.20 152.77 130.74°
With the nearest neighbours (Å) after each atom.
Fractional coordinates of all 4 atoms:
Ta: 0.0000 0.5000 0.5000  2 Rh 2.43
In: 0.0000 0.0000 0.0000  2 In 2.81, 2 Rh 2.82, 4 Ta 2.86
Rh: 0.0000 0.2685 0.2685  1 Ta 2.43
Rh: 0.0000 0.7315 0.7315  1 Ta 2.43

Results
SG	Immm, No. 71
N(E_F)	0.7004	states/eV per atom
formation energy from the elements	0.287	eV/atom

(5)
Computed, not measured: crystalline LiScO2 at its relaxed geometry at the GGA-PBE level of DFT.

Cell: 3.7104 3.7104 3.7104 Å, 60.00 60.00 60.00°
With the nearest neighbours (Å) after each atom.
Fractional coordinates of all 4 atoms:
Sc: 0.5000 0.5000 0.5000  8 O 2.27
O: 0.2500 0.2500 0.2500  4 Li 2.27, 4 Sc 2.27
O: 0.7500 0.7500 0.7500  4 Sc 2.27, 4 Li 2.27
Li: 0.0000 0.0000 0.0000  8 O 2.27

Results
SG	Fm-3m, No. 225
formation energy from raw total energies	-2.520	eV per atom
N(E_F)	0.0000	states/eV per atom

(6)
Computed, not measured: crystalline Tl2Cu2Ag at its relaxed geometry at the GGA-PBE level of DFT.

Cell: 7.2788 7.2788 3.6896 Å, 90.00 90.00 90.00°
With the nearest neighbours (Å) after each atom.
Fractional coordinates of all 10 atoms:
Tl: 0.1758 0.6758 0.5000  6 Cu 2.77-2.88
Tl: 0.6758 0.8242 0.5000  6 Cu 2.77-2.88
Tl: 0.8242 0.3242 0.5000  6 Cu 2.77-2.88
Tl: 0.3242 0.1758 0.5000  6 Cu 2.77-2.88
Cu: 0.3771 0.8771 0.0000  1 Cu 2.53, 2 Tl 2.77
Cu: 0.8771 0.6229 0.0000  1 Cu 2.53, 2 Tl 2.77
Cu: 0.6229 0.1229 0.0000  1 Cu 2.53, 2 Tl 2.77
Cu: 0.1229 0.3771 0.0000  1 Cu 2.53, 2 Tl 2.77
Ag: 0.0000 0.0000 0.0000  4 Cu 2.89
Ag: 0.5000 0.5000 0.0000  4 Cu 2.89

Results
SG	P4/mbm, No. 127
E above lowest polymorph	0.000	eV/atom
N(E_F)	0.2952	states/eV per atom
formation energy from the elements	0.236	eV/atom

Number 1: calculated total energy -101.4 eV for the cell shown, density 8.7 Mg/m³. Number 2: calculated total energy -72.0 eV for the cell shown, density 11.1 Mg/m³. Number 3: calculated total energy -16.5 eV for the cell shown, density 2.7 Mg/m³. Number 4: calculated total energy -28.1 eV for the cell shown, density 11.4 Mg/m³. Number 5: calculated total energy -28.2 eV for the cell shown, density 3.9 Mg/m³. Number 6: calculated total energy -29.2 eV for the cell shown, density 10.9 Mg/m³.